No. 1
This record from Alexandria describes an optimized crystal structure of MgSn. The functional is PBEsol.

Properties
V = 47 Å³/cell
DFT total energy = -6.2 eV per cell
Symmetry = Pm-3m, No. 221
Energy of formation = -0.125 eV per atom

a = 3.6092 Å, b = 3.6092 Å, c = 3.6092 Å
α = 90.00°, β = 90.00°, γ = 90.00°
Atoms (fractional coordinates):
Sn  0.5000  0.5000  0.5000
Mg  0.0000  0.0000  0.0000

***

No. 2
This record from Alexandria describes an optimized crystal structure of MgSn. The functional is PBEsol.

Properties
V = 144 Å³/cell
DFT total energy = -18.2 eV per cell
Symmetry = P3m1, No. 156
Energy of formation = -0.050 eV per atom

a = 3.3345 Å, b = 3.3345 Å, c = 14.9973 Å
α = 90.00°, β = 90.00°, γ = 120.00°
Atoms (fractional coordinates):
Sn  0.6667  0.3333  0.9992
Sn  0.0000  0.0000  0.5066
Sn  0.6667  0.3333  0.3249
Mg  0.0000  0.0000  0.8365
Mg  0.0000  0.0000  0.1612
Mg  0.6667  0.3333  0.6716

***

No. 3
This record from Alexandria describes an optimized crystal structure of MgSn3. The functional is PBEsol.

Properties
V = 200 Å³/cell
DFT total energy = -29.4 eV per cell
Symmetry = P6_3/mmc, No. 194
Energy of formation = -0.056 eV per atom

a = 5.5241 Å, b = 6.4654 Å, c = 6.4654 Å
α = 120.00°, β = 90.00°, γ = 90.00°
Atoms (fractional coordinates):
Sn  0.7500  0.8326  0.6653
Sn  0.2500  0.1674  0.8326
Sn  0.7500  0.3347  0.1674
Sn  0.2500  0.1674  0.3347
Sn  0.7500  0.8326  0.1674
Sn  0.2500  0.6653  0.8326
Mg  0.2500  0.6667  0.3333
Mg  0.7500  0.3333  0.6667

***

No. 4
This record from Alexandria describes an optimized crystal structure of MgSn3. The functional is PBEsol.

Properties
V = 100 Å³/cell
DFT total energy = -14.8 eV per cell
Symmetry = Pm-3m, No. 221
Energy of formation = -0.066 eV per atom

a = 4.6351 Å, b = 4.6351 Å, c = 4.6351 Å
α = 90.00°, β = 90.00°, γ = 90.00°
Atoms (fractional coordinates):
Sn  0.5000  0.5000  0.0000
Sn  0.5000  0.0000  0.5000
Sn  0.0000  0.5000  0.5000
Mg  0.0000  0.0000  0.0000

***

No. 5
This record from Alexandria describes an optimized crystal structure of MgSn2. The functional is PBEsol.

Properties
V = 147 Å³/cell
DFT total energy = -20.9 eV per cell
Symmetry = C2/m, No. 12
Energy of formation = -0.072 eV per atom

a = 3.4222 Å, b = 6.7651 Å, c = 6.7060 Å
α = 101.64°, β = 90.00°, γ = 104.65°
Atoms (fractional coordinates):
Sn  0.6943  0.3886  0.8887
Sn  0.3685  0.7369  0.7066
Sn  0.6946  0.3891  0.3890
Sn  0.0206  0.0413  0.0718
Mg  0.3544  0.7089  0.2175
Mg  0.0343  0.0686  0.5597

***

No. 6
This record from Alexandria describes an optimized crystal structure of MgSn2. The functional is PBEsol.

Properties
V = 148 Å³/cell
DFT total energy = -20.8 eV per cell
Symmetry = R32, No. 155
Energy of formation = -0.051 eV per atom

a = 5.7924 Å, b = 5.7924 Å, c = 6.0935 Å
α = 61.62°, β = 61.62°, γ = 60.00°
Atoms (fractional coordinates):
Sn  0.6777  0.0000  0.0000
Sn  0.3223  0.6777  0.0000
Sn  0.0000  0.3223  0.0000
Sn  0.5000  0.5000  0.5000
Mg  0.1711  0.1711  0.4868
Mg  0.8289  0.8289  0.5132

***

- DFT total energy of number 6 (MgSn2)?
  -20.8 eV per cell

***

- What is the DFT total energy in the first record?
  -6.2 eV per cell

***

- What is the formula in the sixth record?
  MgSn2

***

What did the sixth record say?
This record from Alexandria describes an optimized crystal structure of MgSn2. The functional is PBEsol.

Properties
V = 148 Å³/cell
DFT total energy = -20.8 eV per cell
Symmetry = R32, No. 155
Energy of formation = -0.051 eV per atom

a = 5.7924 Å, b = 5.7924 Å, c = 6.0935 Å
α = 61.62°, β = 61.62°, γ = 60.00°
Atoms (fractional coordinates):
Sn  0.6777  0.0000  0.0000
Sn  0.3223  0.6777  0.0000
Sn  0.0000  0.3223  0.0000
Sn  0.5000  0.5000  0.5000
Mg  0.1711  0.1711  0.4868
Mg  0.8289  0.8289  0.5132